[1]
A geometry-optimized TbSm5Ho4 structure. Source: Alexandria via LeMat-Bulk, functional PBE.

Lattice parameters (Å, degrees): 18.5757 3.5768 10.1311 90.00 105.91 90.00
Closest atoms and distances in Å follow each position.
Space group C2/m (No. 12)
One atom of each set of equivalent atoms:
Tb 0.0000 0.0000 0.0000 x2  4 Sm 3.56, 6 Ho 3.56-3.57, 2 Tb 3.58
Sm 0.0000 0.0000 0.5000 x2  8 Sm 3.58-3.60, 4 Ho 3.60
Sm 0.1000 0.5000 0.8026 x4  4 Ho 3.55-3.58, 2 Tb 3.56, 6 Sm 3.58-3.60
Sm 0.2002 0.0000 0.6005 x4  5 Ho 3.56-3.60, 7 Sm 3.58-3.60
Ho 0.1005 0.5000 0.2977 x4  4 Ho 3.56-3.58, 6 Sm 3.56-3.60, 2 Tb 3.56
Ho 0.1997 0.0000 0.0996 x4  5 Sm 3.55-3.58, 6 Ho 3.56-3.58, 1 Tb 3.57

## Properties
The value obtained for the total magnetic moment is 0.0 μB/cell. The value obtained for the energy relative to the elements is 17 meV/atom. Its crystal system is monoclinic. The total energy comes out at -4.637 eV/atom.

[2]
A geometry-optimized Ca2LaDyHg4 structure. Source: Alexandria via LeMat-Bulk, functional PBE.

Lattice parameters (Å, degrees): 5.3612 5.3612 26.3788 90.00 90.00 120.00
Closest atoms and distances in Å follow each position.
Space group R-3m (No. 166, hexagonal axes)
One atom of each set of equivalent atoms:
Ca 0.0000 0.0000 0.2487 x6  8 Hg 3.20-3.43
La 0.0000 0.0000 0.0000 x3  8 Hg 3.32-3.36
Dy 0.0000 0.0000 0.5000 x3  8 Hg 3.20-3.26
Hg 0.0000 0.0000 0.1273 x6  4 Ca 3.20-3.29, 3 Dy 3.26, 1 La 3.36
Hg 0.0000 0.0000 0.3786 x6  1 Dy 3.20, 4 Ca 3.27-3.43, 3 La 3.32

## Properties
The value obtained for the total magnetic moment is 0.0 μB/cell. The value obtained for the energy relative to the elements is -540 meV/atom. Its crystal system is trigonal. The total energy comes out at -2.382 eV/atom.

[3]
A geometry-optimized AcMgTl2 structure. Source: Alexandria via LeMat-Bulk, functional PBE.

Lattice parameters (Å, degrees): 3.8294 3.8294 8.0033 90.00 90.00 90.00
Closest atoms and distances in Å follow each position.
Space group P4/mmm (No. 123)
One atom of each set of equivalent atoms:
Ac 0.0000 0.0000 0.0000 x1  8 Tl 3.55, 4 Ac 3.83
Mg 0.0000 0.0000 0.5000 x1  8 Tl 3.20
Tl 0.5000 0.5000 0.2874 x2  4 Mg 3.20, 1 Tl 3.40, 4 Ac 3.55

## Properties
The value obtained for the total magnetic moment is 0.0 μB/cell. The value obtained for the energy relative to the elements is -212 meV/atom. Its crystal system is tetragonal. The total energy comes out at -2.821 eV/atom.

[4]
A geometry-optimized PuHfTlHg structure. Source: Alexandria via LeMat-Bulk, functional PBE.

Lattice parameters (Å, degrees): 7.3302 7.3302 7.3302 90.00 90.00 90.00
Closest atoms and distances in Å follow each position.
Space group F-43m (No. 216)
One atom of each set of equivalent atoms:
Pu 0.0000 0.0000 0.0000 x4  4 Tl 3.17, 4 Hg 3.17
Hf 0.0000 0.0000 0.5000 x4  4 Hg 3.17, 4 Tl 3.17
Tl 0.2500 0.2500 0.7500 x4  4 Hf 3.17, 4 Pu 3.17
Hg 0.2500 0.2500 0.2500 x4  4 Hf 3.17, 4 Pu 3.17

## Properties
The value obtained for the total magnetic moment is 27.1 μB/cell. The value obtained for the energy relative to the elements is 95 meV/atom. Its crystal system is cubic. The total energy comes out at -6.643 eV/atom.

[5]
A geometry-optimized RePb3 structure. Source: Alexandria via LeMat-Bulk, functional PBE.

Lattice parameters (Å, degrees): 7.6627 7.6627 8.6421 90.00 90.00 120.00
Closest atoms and distances in Å follow each position.
Space group P6_3/mmc (No. 194)
One atom of each set of equivalent atoms:
Re 0.0000 0.0000 0.0000 x2  6 Pb 2.87
Re 0.3333 0.6667 0.2500 x2  6 Pb 3.09
Pb 0.0000 0.5000 0.0000 x6  2 Re 3.09, 4 Pb 3.22
Pb 0.1427 0.2854 0.7500 x6  2 Re 2.87

## Properties
The value obtained for the total magnetic moment is 7.8 μB/cell. The value obtained for the energy relative to the elements is 1015 meV/atom. Its crystal system is hexagonal. The total energy comes out at -4.878 eV/atom.

[6]
A geometry-optimized BC2 structure. Source: Alexandria via LeMat-Bulk, functional PBE.

Lattice parameters (Å, degrees): 2.5602 2.5602 13.3762 90.00 90.00 120.00
Closest atoms and distances in Å follow each position.
Space group P3m1 (No. 156)
One atom of each set of equivalent atoms:
B 0.0000 0.0000 0.0000 x1  1 C 1.59
B 0.0000 0.0000 0.3995 x1  4 C 1.57-1.63
B 0.3333 0.6667 0.0761 x1  1 C 1.58
B 0.3333 0.6667 0.5672 x1  4 C 1.62-1.64
C 0.0000 0.0000 0.5170 x1  4 B 1.57-1.62
C 0.0000 0.0000 0.8815 x1  3 C 1.56, 1 B 1.59
C 0.3333 0.6667 0.1945 x1  3 C 1.57, 1 B 1.58
C 0.3333 0.6667 0.6901 x1  3 C 1.55, 1 B 1.64
C 0.6667 0.3333 0.2347 x1  4 C 1.51-1.57
C 0.6667 0.3333 0.3473 x1  1 C 1.51, 3 B 1.63
C 0.6667 0.3333 0.7257 x1  4 C 1.55-1.58
C 0.6667 0.3333 0.8441 x1  4 C 1.56-1.58

## Properties
The value obtained for the total magnetic moment is 0.0 μB/cell. The value obtained for the energy relative to the elements is 331 meV/atom. Its crystal system is trigonal. The total energy comes out at -8.044 eV/atom.

[7]
A geometry-optimized Sc3Tc structure. Source: Alexandria via LeMat-Bulk, functional PBE.

Lattice parameters (Å, degrees): 3.1789 4.4189 5.9621 90.00 104.27 90.00
Closest atoms and distances in Å follow each position.
Space group P2/m (No. 10)
One atom of each set of equivalent atoms:
Sc 0.0000 0.0000 0.0000 x1  2 Tc 3.01, 10 Sc 3.10-3.23
Sc 0.3290 0.5000 0.7212 x2  2 Tc 2.70, 1 Sc 2.94
Tc 0.5000 0.0000 0.5000 x1  6 Sc 2.70-3.01

## Properties
The value obtained for the total magnetic moment is 0.0 μB/cell. The value obtained for the energy relative to the elements is -27 meV/atom. Its crystal system is monoclinic. The total energy comes out at -7.367 eV/atom.

[8]
A geometry-optimized Sr2Cd2Ga structure. Source: Alexandria via LeMat-Bulk, functional PBE.

Lattice parameters (Å, degrees): 6.4531 6.4531 8.2800 90.00 90.00 90.00
Closest atoms and distances in Å follow each position.
Space group I4/mmm (No. 139)
One atom of each set of equivalent atoms:
Sr 0.0000 0.5000 0.2500 x4  4 Cd 3.30
Cd 0.0000 0.0000 0.1649 x4  1 Cd 2.73, 1 Ga 2.77
Ga 0.0000 0.0000 0.5000 x2  2 Cd 2.77

## Properties
The value obtained for the total magnetic moment is 0.0 μB/cell. The value obtained for the energy relative to the elements is -81 meV/atom. Its crystal system is tetragonal. The total energy comes out at -1.725 eV/atom.

Question: Look up the energy relative to the elements of the fifth one.
Answer: 1015 meV/atom

Question: total magnetic moment of number 6 (BC2)?
Answer: 0.0 μB/cell